Record 1
Entry from the Alexandria database: a relaxed LuMg2Al crystal (PBE).

abc: 4.977 4.977 4.977
angles: 60.00 60.00 60.00
Atoms (fractional coordinates):
Al 0.000 0.000 0.000
Mg 0.250 0.250 0.250
Mg 0.750 0.750 0.750
Lu 0.500 0.500 0.500

Output
DOS(E_F): 0.613 states/eV/atom
Size of the total moment: 0.00 μB/f.u.
Offset from the most stable computed form: 166 meV/atom
Formation energy: -0.7 kJ/mol of atoms

Record 2
Entry from the Alexandria database: a relaxed LuMgAl2 crystal (PBE).

abc: 4.891 4.891 4.891
angles: 60.00 60.00 60.00
Atoms (fractional coordinates):
Lu 0.500 0.500 0.500
Al 0.750 0.750 0.750
Al 0.250 0.250 0.250
Mg 0.000 0.000 0.000

Output
DOS(E_F): 0.736 states/eV/atom
Size of the total moment: 0.00 μB/f.u.
Offset from the most stable computed form: 136 meV/atom
Formation energy: -15.6 kJ/mol of atoms

Record 3
Entry from the Alexandria database: a relaxed Lu2MgAl crystal (PBE).

abc: 5.094 5.094 5.094
angles: 60.00 60.00 60.00
Atoms (fractional coordinates):
Al 0.500 0.500 0.500
Lu 0.750 0.750 0.750
Lu 0.250 0.250 0.250
Mg 0.000 0.000 0.000

Output
DOS(E_F): 0.644 states/eV/atom
Size of the total moment: 0.00 μB/f.u.
Offset from the most stable computed form: 0 meV/atom
Formation energy: -23.1 kJ/mol of atoms